The following is a DFT calculation (GGA-PBE) of LaW4Se after structural relaxation.

Geometry as POSCAR:
```
LaW4Se
1.0
5.152 -1.894 -0.682
0.837 -5.246 -1.543
1.885 -1.122 -5.078
La W Se
1 4 1
Cartesian
5.906 -6.197 -5.477 La
5.528 -4.046 -3.080 W
3.895 -3.659 -5.277 W
3.371 -5.721 -3.510 W
2.953 -3.099 -2.739 W
0.000 0.000 0.000 Se
```

Calculated values
- Uncorrected formation energy: 696 meV per atom
- Uncorrected energy: -9.342 eV/atom
- SG: F-43m (216)
- DOS at the Fermi energy: 5.795 states/eV/f.u.